No. 1
Here is crystalline Nb6InSn at its relaxed geometry from Alexandria via LeMat-Bulk. Energies are from PBE-GGA.

a b c (Å): 4.820 5.869 5.869
angles (deg): 113.81 90.00 90.00
Fractional coordinates of all 8 atoms:
Nb 0.500 0.882 0.118
Nb 0.000 0.099 0.390
In 0.000 0.100 0.900
Nb 0.500 0.893 0.600
Nb 0.500 0.400 0.107
Sn 0.500 0.401 0.599
Nb 0.000 0.617 0.383
Nb 0.000 0.610 0.901

Energy of formation   -0.092 eV/atom
Space-group type   Amm2


No. 2
Here is crystalline Pm2SnRu at its relaxed geometry from Alexandria via LeMat-Bulk. Energies are from PBE-GGA.

a b c (Å): 3.473 3.473 8.327
angles (deg): 90.00 90.00 90.00
Fractional coordinates of all 4 atoms:
Pm 0.000 0.000 0.208
Pm 0.000 0.000 0.792
Sn 0.500 0.500 0.500
Ru 0.500 0.500 0.000

Energy of formation   -0.437 eV/atom
Space-group type   P4/mmm


No. 3
Here is crystalline CsRb3I at its relaxed geometry from Alexandria via LeMat-Bulk. Energies are from PBE-GGA.

a b c (Å): 7.475 7.475 7.475
angles (deg): 90.00 90.00 90.00
Fractional coordinates of all 5 atoms:
Rb 0.000 0.500 0.000
Cs 0.500 0.500 0.500
Rb 0.000 0.000 0.500
Rb 0.500 0.000 0.000
I 0.000 0.000 0.000

Space-group type   Pm-3m
Relative energy among the computed polymorphs   0 meV per atom


No. 4
Here is crystalline RbPuBe2Br8 at its relaxed geometry from Alexandria via LeMat-Bulk. Energies are from PBE-GGA.

a b c (Å): 6.645 6.645 11.220
angles (deg): 72.77 72.77 60.00
Last column: magnetic moment on the atom in μB.
Fractional coordinates of all 12 atoms:
Br 0.591 0.282 0.168  -0.03
Pu 0.000 0.000 0.000  5.08
Be 0.253 0.253 0.241  0.00
Br 0.409 0.718 0.832  -0.03
Br 0.814 0.814 0.559  0.00
Br 0.041 0.409 0.832  -0.03
Br 0.282 0.959 0.168  -0.03
Br 0.186 0.186 0.441  0.00
Be 0.747 0.747 0.759  0.00
Rb 0.500 0.500 0.500  0.00
Br 0.718 0.041 0.832  -0.03
Br 0.959 0.591 0.168  -0.03

Space-group type   R-3


No. 5
Here is crystalline Al2Tl2Sb at its relaxed geometry from Alexandria via LeMat-Bulk. Energies are from PBE-GGA.

a b c (Å): 3.803 3.803 9.676
angles (deg): 78.67 78.67 90.00
Fractional coordinates of all 5 atoms:
Sb 0.000 0.000 0.000
Tl 0.608 0.608 0.785
Al 0.250 0.750 0.500
Al 0.750 0.250 0.500
Tl 0.392 0.392 0.215

Space-group type   I4/mmm
Relative energy among the computed polymorphs   97 meV per atom


No. 6
Here is crystalline Mo3Se at its relaxed geometry from Alexandria via LeMat-Bulk. Energies are from PBE-GGA.

a b c (Å): 8.410 8.410 8.410
angles (deg): 20.76 20.76 20.76
Fractional coordinates of all 4 atoms:
Mo 0.250 0.250 0.250
Se 0.000 0.000 0.000
Mo 0.500 0.500 0.500
Mo 0.750 0.750 0.750

Space-group type   R-3m
Relative energy among the computed polymorphs   146 meV per atom


no.,E (eV/atom)
1,-8.487
2,-6.131
3,-1.579
4,-4.283
5,-3.007
6,-8.691